{"formula": "Re2Ir", "functional": "PBE-GGA", "state": "optimized geometry", "lattice_angstrom": [[5.1708, 0.0000, 0.0000], [-2.5854, 4.4780, 0.0000], [0.0000, 0.0000, 8.1709]], "species": ["Re", "Re", "Re", "Re", "Re", "Re", "Re", "Re", "Ir", "Ir", "Ir", "Ir"], "fractional_positions": [[0.0000, 0.0000, 0.0000], [0.0000, 0.0000, 0.5000], [0.1744, 0.3489, 0.2500], [0.1744, 0.8256, 0.2500], [0.3489, 0.1744, 0.7500], [0.6511, 0.8256, 0.2500], [0.8256, 0.1744, 0.7500], [0.8256, 0.6511, 0.7500], [0.3333, 0.6667, 0.5852], [0.3333, 0.6667, 0.9148], [0.6667, 0.3333, 0.0852], [0.6667, 0.3333, 0.4148]], "spacegroup": "P6_3/mmc", "ef_ev_per_atom": 0.397}



{"formula": "KCeNd4S8", "functional": "PBE-GGA", "state": "optimized geometry", "lattice_angstrom": [[4.2395, 2.4477, 6.9477], [-4.2395, 2.4477, 6.9477], [0.0000, -4.8953, 6.9477]], "species": ["K", "Ce", "Nd", "Nd", "Nd", "Nd", "S", "S", "S", "S", "S", "S", "S", "S"], "fractional_positions": [[0.0000, 0.0000, 0.0000], [0.6279, 0.6279, 0.6279], [0.1129, 0.6287, 0.6287], [0.2499, 0.2499, 0.2499], [0.6287, 0.1129, 0.6287], [0.6287, 0.6287, 0.1129], [0.3814, 0.3814, 0.8523], [0.3814, 0.8523, 0.3814], [0.3823, 0.3823, 0.3823], [0.4239, 0.8573, 0.8573], [0.8523, 0.3814, 0.3814], [0.8573, 0.4239, 0.8573], [0.8573, 0.8573, 0.4239], [0.8590, 0.8590, 0.8590]], "spacegroup": "R3m", "e_form_raw_ev_per_atom": -1.89}



{"formula": "Li4Ce3NpS8", "functional": "PBE-GGA", "state": "optimized geometry", "lattice_angstrom": [[4.0169, 2.3192, 6.1748], [-4.0169, 2.3192, 6.1748], [0.0000, -4.6383, 6.1748]], "species": ["Li", "Li", "Li", "Li", "Ce", "Ce", "Ce", "Np", "S", "S", "S", "S", "S", "S", "S", "S"], "fractional_positions": [[0.0000, 0.0000, 0.0000], [0.0000, 0.5000, 0.5000], [0.5000, 0.0000, 0.5000], [0.5000, 0.5000, 0.0000], [0.0000, 0.0000, 0.5000], [0.0000, 0.5000, 0.0000], [0.5000, 0.0000, 0.0000], [0.5000, 0.5000, 0.5000], [0.2508, 0.2508, 0.7436], [0.2508, 0.7436, 0.2508], [0.2527, 0.2527, 0.2527], [0.2564, 0.7492, 0.7492], [0.7436, 0.2508, 0.2508], [0.7473, 0.7473, 0.7473], [0.7492, 0.2564, 0.7492], [0.7492, 0.7492, 0.2564]], "spacegroup": "R-3m", "e_form_raw_ev_per_atom": -1.63}



{"formula": "HfCuTc2H", "functional": "PBE-GGA", "state": "optimized geometry", "lattice_angstrom": [[3.9922, 0.0000, 0.0000], [0.0000, 3.9922, 0.0000], [0.0000, 0.0000, 3.9863]], "species": ["Hf", "Cu", "Tc", "Tc", "H"], "fractional_positions": [[0.0000, 0.0000, 0.0000], [0.5000, 0.5000, 0.0000], [0.0000, 0.5000, 0.5000], [0.5000, 0.0000, 0.5000], [0.5000, 0.5000, 0.5000]], "spacegroup": "P4/mmm"}



{"formula": "Pr2Sm2Ho5", "functional": "PBE-GGA", "state": "optimized geometry", "lattice_angstrom": [[10.8518, -1.7507, 0.0000], [10.8518, 1.7507, 0.0000], [-1.4148, 0.0000, 8.1710]], "species": ["Pr", "Pr", "Sm", "Sm", "Ho", "Ho", "Ho", "Ho", "Ho"], "fractional_positions": [[0.1840, 0.1840, 0.1435], [0.8160, 0.8160, 0.8565], [0.4534, 0.4534, 0.6445], [0.5466, 0.5466, 0.3555], [0.0000, 0.0000, 0.0000], [0.0982, 0.0982, 0.7367], [0.3096, 0.3096, 0.4724], [0.6904, 0.6904, 0.5276], [0.9018, 0.9018, 0.2633]], "spacegroup": "C2/m", "ef_ev_per_atom": 0.231}



{"formula": "K2BaMg", "functional": "PBE-GGA", "state": "optimized geometry", "lattice_angstrom": [[-2.7322, 2.7322, 14.8895], [2.7322, -2.7322, 14.8895], [2.7322, 2.7322, -14.8895]], "species": ["K", "K", "K", "K", "Ba", "Ba", "Mg", "Mg"], "fractional_positions": [[0.1008, 0.6250, 0.9758], [0.3750, 0.3508, 0.4758], [0.6492, 0.1250, 0.0242], [0.8750, 0.8992, 0.5242], [0.2500, 0.7500, 0.5000], [0.5000, 0.5000, 0.0000], [0.0000, 0.0000, 0.0000], [0.7500, 0.2500, 0.5000]], "spacegroup": "I-42d", "ef_ev_per_atom": 0.225}



{"formula": "La4Ce3HoSe8", "functional": "PBE-GGA", "state": "optimized geometry", "lattice_angstrom": [[4.2353, 2.4453, 6.9486], [-4.2353, 2.4453, 6.9486], [0.0000, -4.8905, 6.9486]], "species": ["La", "La", "La", "La", "Ce", "Ce", "Ce", "Ho", "Se", "Se", "Se", "Se", "Se", "Se", "Se", "Se"], "fractional_positions": [[0.0000, 0.0000, 0.0000], [0.0000, 0.5000, 0.5000], [0.5000, 0.0000, 0.5000], [0.5000, 0.5000, 0.0000], [0.0000, 0.0000, 0.5000], [0.0000, 0.5000, 0.0000], [0.5000, 0.0000, 0.0000], [0.5000, 0.5000, 0.5000], [0.2476, 0.2476, 0.2476], [0.2524, 0.7428, 0.7428], [0.2572, 0.2572, 0.7476], [0.2572, 0.7476, 0.2572], [0.7428, 0.2524, 0.7428], [0.7428, 0.7428, 0.2524], [0.7476, 0.2572, 0.2572], [0.7524, 0.7524, 0.7524]], "spacegroup": "R-3m", "e_form_raw_ev_per_atom": -1.90}



{"formula": "CdIn2Hg2Bi2", "functional": "PBE-GGA", "state": "optimized geometry", "lattice_angstrom": [[5.3505, -2.1487, 0.0000], [5.3505, 2.1487, 0.0000], [-2.6435, 0.0000, 9.0007]], "species": ["Cd", "In", "In", "Hg", "Hg", "Bi", "Bi"], "fractional_positions": [[0.0000, 0.0000, 0.0000], [0.0444, 0.0444, 0.3566], [0.9556, 0.9556, 0.6434], [0.2686, 0.2686, 0.6736], [0.7314, 0.7314, 0.3264], [0.3410, 0.3410, 0.1227], [0.6590, 0.6590, 0.8773]], "spacegroup": "C2/m", "ef_ev_per_atom": 0.058}



Fermi-level density of states in states/eV/f.u., matching the order above: 2.78 8.48 23.87 4.45 13.07 6.66 22.49 2.73
Magnetization in μB per formula unit, matching the order above: 0.00 1.00 7.01 0.00 0.00 0.00 2.74 0.00
DFT total energy in eV per atom, matching the order above: -10.86 -6.11 -6.10 -7.67 -4.42 -1.20 -6.27 -2.05